No. 1
Entry from the Alexandria database: MoPtRh4 after structural relaxation (GGA-PBE).

Computed properties:
DFT total energy (eV/atom): -7.70
Energy relative to the elements (eV/atom): 0.014
Theoretical density (g cm⁻³): 13.1
Excess energy over the best structure of this formula in the dataset (kJ per mole of atoms): 0.0

Unit cell a=8.157 b=8.157 c=4.281 alpha=90.00 beta=90.00 gamma=141.19
Sites, in units of the cell vectors:
Mo1 0.128 0.872 0.750
Mo2 0.872 0.128 0.250
Pt1 0.377 0.623 0.250
Pt2 0.623 0.377 0.750
Rh1 0.046 0.461 0.750
Rh2 0.212 0.297 0.750
Rh3 0.297 0.212 0.250
Rh4 0.461 0.046 0.250
Rh5 0.539 0.954 0.750
Rh6 0.703 0.788 0.750
Rh7 0.788 0.703 0.250
Rh8 0.954 0.539 0.250

No. 2
Entry from the Alexandria database: MoPt8Rh6 after structural relaxation (GGA-PBE).

Computed properties:
DFT total energy (eV/atom): -6.72
Energy relative to the elements (eV/atom): 0.164
Theoretical density (g cm⁻³): 15.2
Excess energy over the best structure of this formula in the dataset (kJ per mole of atoms): 0.0

Unit cell a=7.358 b=7.358 c=5.306 alpha=90.00 beta=90.00 gamma=120.00
Sites, in units of the cell vectors:
Mo1 0.000 0.000 0.000
Pt1 0.031 0.309 0.644
Pt2 0.278 0.969 0.644
Pt3 0.309 0.278 0.356
Pt4 0.333 0.667 0.831
Pt5 0.667 0.333 0.169
Pt6 0.691 0.722 0.644
Pt7 0.722 0.031 0.356
Pt8 0.969 0.691 0.356
Rh1 0.049 0.379 0.137
Rh2 0.331 0.951 0.137
Rh3 0.379 0.331 0.863
Rh4 0.621 0.669 0.137
Rh5 0.669 0.049 0.863
Rh6 0.951 0.621 0.863

No. 3
Entry from the Alexandria database: Mo4PtRh7 after structural relaxation (GGA-PBE).

Computed properties:
DFT total energy (eV/atom): -8.09
Energy relative to the elements (eV/atom): 0.310
Theoretical density (g cm⁻³): 11.1

Unit cell a=5.653 b=5.653 c=9.297 alpha=117.01 beta=117.01 gamma=49.25
Sites, in units of the cell vectors:
Mo1 0.079 0.079 0.271
Mo2 0.229 0.229 0.818
Mo3 0.771 0.771 0.182
Mo4 0.921 0.921 0.729
Pt1 0.500 0.500 0.500
Rh1 0.000 0.000 0.500
Rh2 0.147 0.147 0.057
Rh3 0.288 0.288 0.592
Rh4 0.431 0.431 0.144
Rh5 0.569 0.569 0.856
Rh6 0.712 0.712 0.408
Rh7 0.853 0.853 0.943

No. 4
Entry from the Alexandria database: MoPt2Rh after structural relaxation (GGA-PBE).

Computed properties:
DFT total energy (eV/atom): -7.64
Energy relative to the elements (eV/atom): -0.079
Theoretical density (g cm⁻³): 15.8
Excess energy over the best structure of this formula in the dataset (kJ per mole of atoms): 18.3

Unit cell a=5.453 b=5.453 c=5.394 alpha=109.32 beta=109.32 gamma=109.32
Sites, in units of the cell vectors:
Mo1 0.220 0.780 0.500
Mo2 0.780 0.220 0.000
Pt1 0.275 0.280 0.920
Pt2 0.280 0.275 0.420
Pt3 0.719 0.796 0.512
Pt4 0.796 0.719 0.012
Rh1 0.348 0.839 0.038
Rh2 0.839 0.348 0.538

No. 5
Entry from the Alexandria database: Mo3PtRh4 after structural relaxation (GGA-PBE).

Computed properties:
DFT total energy (eV/atom): -8.29
Energy relative to the elements (eV/atom): 0.205
Theoretical density (g cm⁻³): 11.4

Unit cell a=10.529 b=10.529 c=4.573 alpha=96.72 beta=96.72 gamma=14.94
Sites, in units of the cell vectors:
Mo1 0.000 0.000 0.000
Mo2 0.218 0.218 0.226
Mo3 0.782 0.782 0.774
Pt1 0.500 0.500 0.500
Rh1 0.338 0.338 0.293
Rh2 0.396 0.396 0.817
Rh3 0.604 0.604 0.183
Rh4 0.662 0.662 0.707

No. 6
Entry from the Alexandria database: MoPt2Rh after structural relaxation (GGA-PBE).

Computed properties:
DFT total energy (eV/atom): -7.74
Energy relative to the elements (eV/atom): -0.170
Theoretical density (g cm⁻³): 16.1
Excess energy over the best structure of this formula in the dataset (kJ per mole of atoms): 9.5

Unit cell a=4.849 b=4.849 c=4.767 alpha=99.77 beta=99.77 gamma=33.44
Sites, in units of the cell vectors:
Mo1 0.000 0.000 0.000
Pt1 0.251 0.251 0.753
Pt2 0.749 0.749 0.247
Rh1 0.500 0.500 0.500

No. 7
Entry from the Alexandria database: Mo2PtRh8 after structural relaxation (GGA-PBE).

Computed properties:
DFT total energy (eV/atom): -7.86
Energy relative to the elements (eV/atom): 0.002
Theoretical density (g cm⁻³): 12.1

Unit cell a=7.287 b=7.287 c=7.287 alpha=147.02 beta=126.95 gamma=63.90
Sites, in units of the cell vectors:
Mo1 0.199 0.199 0.000
Mo2 0.801 0.801 0.000
Pt1 0.500 0.500 0.000
Rh1 0.066 0.354 0.712
Rh2 0.203 0.000 0.203
Rh3 0.335 0.835 0.500
Rh4 0.358 0.646 0.712
Rh5 0.642 0.354 0.288
Rh6 0.665 0.165 0.500
Rh7 0.797 0.000 0.797
Rh8 0.934 0.646 0.288

No. 8
Entry from the Alexandria database: Mo2PtRh6 after structural relaxation (GGA-PBE).

Computed properties:
DFT total energy (eV/atom): -8.17
Energy relative to the elements (eV/atom): -0.188
Theoretical density (g cm⁻³): 12.7
Excess energy over the best structure of this formula in the dataset (kJ per mole of atoms): 0.0

Unit cell a=4.748 b=4.748 c=8.201 alpha=106.42 beta=106.42 gamma=48.39
Sites, in units of the cell vectors:
Mo1 0.174 0.174 0.227
Mo2 0.826 0.826 0.773
Pt1 0.500 0.500 0.000
Rh1 0.168 0.168 0.887
Rh2 0.169 0.169 0.553
Rh3 0.498 0.498 0.331
Rh4 0.502 0.502 0.669
Rh5 0.831 0.831 0.447
Rh6 0.832 0.832 0.113

No. 9
Entry from the Alexandria database: Mo2PtRh4 after structural relaxation (GGA-PBE).

Computed properties:
DFT total energy (eV/atom): -7.93
Energy relative to the elements (eV/atom): 0.232
Theoretical density (g cm⁻³): 11.9

Unit cell a=6.622 b=6.622 c=6.622 alpha=109.41 beta=109.41 gamma=109.60
Sites, in units of the cell vectors:
Mo1 0.006 0.125 0.381
Mo2 0.375 0.994 0.119
Mo3 0.744 0.625 0.619
Mo4 0.875 0.256 0.881
Pt1 0.250 0.750 0.500
Pt2 0.500 0.500 0.000
Rh1 0.103 0.534 0.744
Rh2 0.109 0.040 0.756
Rh3 0.284 0.353 0.244
Rh4 0.466 0.210 0.569
Rh5 0.641 0.897 0.431
Rh6 0.647 0.891 0.931
Rh7 0.790 0.359 0.256
Rh8 0.960 0.716 0.069

No. 10
Entry from the Alexandria database: MoPt2Rh after structural relaxation (GGA-PBE).

Computed properties:
DFT total energy (eV/atom): -7.64
Energy relative to the elements (eV/atom): -0.071
Theoretical density (g cm⁻³): 15.7
Excess energy over the best structure of this formula in the dataset (kJ per mole of atoms): 19.1

Unit cell a=3.350 b=3.350 c=5.544 alpha=90.00 beta=90.00 gamma=90.00
Sites, in units of the cell vectors:
Mo1 0.000 0.000 0.000
Pt1 0.000 0.000 0.518
Pt2 0.500 0.500 0.259
Rh1 0.500 0.500 0.774

No. 11
Entry from the Alexandria database: MoPt6Rh after structural relaxation (GGA-PBE).

Computed properties:
DFT total energy (eV/atom): -7.00
Energy relative to the elements (eV/atom): -0.201
Theoretical density (g cm⁻³): 18.5
Excess energy over the best structure of this formula in the dataset (kJ per mole of atoms): 0.0

Unit cell a=4.857 b=4.857 c=7.890 alpha=114.05 beta=114.05 gamma=47.62
Sites, in units of the cell vectors:
Mo1 0.000 0.000 0.000
Pt1 0.251 0.251 0.877
Pt2 0.252 0.252 0.374
Pt3 0.498 0.498 0.755
Pt4 0.502 0.502 0.245
Pt5 0.748 0.748 0.626
Pt6 0.749 0.749 0.123
Rh1 0.000 0.000 0.500

No. 12
Entry from the Alexandria database: MoPtRh3 after structural relaxation (GGA-PBE).

Computed properties:
DFT total energy (eV/atom): -7.68
Energy relative to the elements (eV/atom): 0.109
Theoretical density (g cm⁻³): 12.1
Excess energy over the best structure of this formula in the dataset (kJ per mole of atoms): 0.0

Unit cell a=6.001 b=6.001 c=7.466 alpha=90.00 beta=90.00 gamma=142.30
Sites, in units of the cell vectors:
Mo1 0.177 0.823 0.750
Mo2 0.823 0.177 0.250
Pt1 0.000 0.000 0.000
Pt2 0.000 0.000 0.500
Rh1 0.166 0.834 0.250
Rh2 0.339 0.661 0.007
Rh3 0.339 0.661 0.493
Rh4 0.661 0.339 0.507
Rh5 0.661 0.339 0.993
Rh6 0.834 0.166 0.750

No. 13
Entry from the Alexandria database: MoPt2Rh after structural relaxation (GGA-PBE).

Computed properties:
DFT total energy (eV/atom): -7.83
Energy relative to the elements (eV/atom): -0.260
Theoretical density (g cm⁻³): 16.1
Excess energy over the best structure of this formula in the dataset (kJ per mole of atoms): 0.8

Unit cell a=2.760 b=3.956 c=5.561 alpha=90.00 beta=90.00 gamma=90.00
Sites, in units of the cell vectors:
Mo1 0.000 0.000 0.000
Pt1 0.000 0.000 0.511
Pt2 0.500 0.500 0.251
Rh1 0.500 0.500 0.766

No. 14
Entry from the Alexandria database: MoPt8Rh6 after structural relaxation (GGA-PBE).

Computed properties:
DFT total energy (eV/atom): -6.71
Energy relative to the elements (eV/atom): 0.176
Theoretical density (g cm⁻³): 15.4
Excess energy over the best structure of this formula in the dataset (kJ per mole of atoms): 1.1

Unit cell a=6.776 b=6.776 c=6.776 alpha=65.11 beta=65.11 gamma=65.11
Sites, in units of the cell vectors:
Mo1 0.000 0.000 0.000
Pt1 0.143 0.409 0.835
Pt2 0.165 0.857 0.591
Pt3 0.254 0.254 0.254
Pt4 0.409 0.835 0.143
Pt5 0.591 0.165 0.857
Pt6 0.746 0.746 0.746
Pt7 0.835 0.143 0.409
Pt8 0.857 0.591 0.165
Rh1 0.082 0.662 0.364
Rh2 0.338 0.636 0.918
Rh3 0.364 0.082 0.662
Rh4 0.636 0.918 0.338
Rh5 0.662 0.364 0.082
Rh6 0.918 0.338 0.636

No. 15
Entry from the Alexandria database: Mo2PtRh7 after structural relaxation (GGA-PBE).

Computed properties:
DFT total energy (eV/atom): -7.55
Energy relative to the elements (eV/atom): 0.365
Theoretical density (g cm⁻³): 11.0

Unit cell a=8.623 b=8.623 c=2.694 alpha=90.00 beta=90.00 gamma=123.66
Sites, in units of the cell vectors:
Mo1 0.174 0.826 0.000
Mo2 0.826 0.174 0.000
Pt1 0.500 0.500 0.500
Rh1 0.000 0.000 0.000
Rh2 0.166 0.364 0.000
Rh3 0.317 0.683 0.500
Rh4 0.364 0.166 0.000
Rh5 0.636 0.834 0.000
Rh6 0.683 0.317 0.500
Rh7 0.834 0.636 0.000

No. 16
Entry from the Alexandria database: Mo2Pt5Rh4 after structural relaxation (GGA-PBE).

Computed properties:
DFT total energy (eV/atom): -7.44
Energy relative to the elements (eV/atom): -0.056
Theoretical density (g cm⁻³): 15.4

Unit cell a=2.766 b=6.817 c=9.164 alpha=92.36 beta=91.35 gamma=100.07
Sites, in units of the cell vectors:
Mo1 0.055 0.087 0.144
Mo2 0.945 0.913 0.856
Pt1 0.387 0.735 0.071
Pt2 0.397 0.864 0.605
Pt3 0.500 0.500 0.500
Pt4 0.603 0.136 0.395
Pt5 0.613 0.265 0.929
Rh1 0.022 0.211 0.666
Rh2 0.258 0.570 0.795
Rh3 0.742 0.430 0.205
Rh4 0.978 0.789 0.334

No. 17
Entry from the Alexandria database: MoPt3Rh4 after structural relaxation (GGA-PBE).

Computed properties:
DFT total energy (eV/atom): -7.48
Energy relative to the elements (eV/atom): -0.180
Theoretical density (g cm⁻³): 15.3
Excess energy over the best structure of this formula in the dataset (kJ per mole of atoms): 0.0

Unit cell a=8.264 b=8.264 c=8.264 alpha=152.65 beta=152.65 gamma=39.06
Sites, in units of the cell vectors:
Mo1 0.000 0.000 0.000
Pt1 0.254 0.254 0.000
Pt2 0.500 0.500 0.000
Pt3 0.746 0.746 0.000
Rh1 0.120 0.620 0.500
Rh2 0.380 0.880 0.500
Rh3 0.620 0.120 0.500
Rh4 0.880 0.380 0.500

No. 18
Entry from the Alexandria database: Mo2Pt2Rh7 after structural relaxation (GGA-PBE).

Computed properties:
DFT total energy (eV/atom): -7.69
Energy relative to the elements (eV/atom): 0.056
Theoretical density (g cm⁻³): 12.7

Unit cell a=4.632 b=6.344 c=6.455 alpha=78.37 beta=69.13 gamma=75.33
Sites, in units of the cell vectors:
Mo1 0.206 0.272 0.236
Mo2 0.794 0.728 0.764
Pt1 0.158 0.828 0.332
Pt2 0.842 0.172 0.668
Rh1 0.244 0.628 0.955
Rh2 0.255 0.425 0.606
Rh3 0.266 0.066 0.917
Rh4 0.500 0.000 0.500
Rh5 0.734 0.934 0.083
Rh6 0.745 0.575 0.394
Rh7 0.756 0.372 0.045

No. 19
Entry from the Alexandria database: MoPt2Rh after structural relaxation (GGA-PBE).

Computed properties:
DFT total energy (eV/atom): -7.61
Energy relative to the elements (eV/atom): -0.041
Theoretical density (g cm⁻³): 15.7
Excess energy over the best structure of this formula in the dataset (kJ per mole of atoms): 21.9

Unit cell a=3.377 b=3.377 c=5.456 alpha=90.00 beta=90.00 gamma=90.00
Sites, in units of the cell vectors:
Mo1 0.000 0.000 0.000
Pt1 0.500 0.500 0.248
Pt2 0.500 0.500 0.752
Rh1 0.000 0.000 0.500

No. 20
Entry from the Alexandria database: MoPt3Rh6 after structural relaxation (GGA-PBE).

Computed properties:
DFT total energy (eV/atom): -7.11
Energy relative to the elements (eV/atom): 0.195
Theoretical density (g cm⁻³): 13.8
Excess energy over the best structure of this formula in the dataset (kJ per mole of atoms): 25.6

Unit cell a=5.138 b=5.138 c=6.856 alpha=90.00 beta=90.00 gamma=120.00
Sites, in units of the cell vectors:
Mo1 0.000 0.000 0.000
Pt1 0.000 0.000 0.500
Pt2 0.333 0.667 0.500
Pt3 0.667 0.333 0.500
Rh1 0.000 0.413 0.816
Rh2 0.000 0.587 0.184
Rh3 0.413 0.000 0.816
Rh4 0.413 0.413 0.184
Rh5 0.587 0.000 0.184
Rh6 0.587 0.587 0.816